The following is a DFT calculation (GGA-PBE) of a relaxed BaTaCo3 crystal.

Lattice parameters (Å, degrees): 4.6974 4.6974 4.6974 90.00 90.00 90.00
Closest atoms and distances in Å follow each position.
Space group Pm-3m (No. 221)
Unique sites:
Ba (0.0000, 0.0000, 0.0000) (multiplicity 1)  12 Co 3.32
Ta (0.5000, 0.5000, 0.5000) (multiplicity 1)  6 Co 2.35
Co (0.0000, 0.5000, 0.5000) (multiplicity 3)  2 Ta 2.35

## Properties
Uncorrected energy ... -30.8 eV/f.u.
Energy relative to the lowest polymorph listed for this composition ... 0 meV/atom
DFT formation energy ... 863 meV/atom
D(E_F) ... 3.46 states/eV per cell

---

The following is a DFT calculation (GGA-PBE) of a relaxed BaSc2Sb2 crystal.

Lattice parameters (Å, degrees): 5.5269 5.5269 10.8325 90.00 90.00 90.00
Closest atoms and distances in Å follow each position.
Space group I4/mmm (No. 139)
Unique sites:
Ba (0.0000, 0.0000, 0.0000) (multiplicity 2)  2 Sc 3.63, 8 Sb 3.87
Sc (0.0000, 0.0000, 0.3354) (multiplicity 4)  4 Sb 2.91
Sb (0.0000, 0.5000, 0.2500) (multiplicity 4)  4 Sc 2.91

## Properties
Uncorrected energy ... -26.0 eV/f.u.
Energy relative to the lowest polymorph listed for this composition ... 229 meV/atom
Uncorrected formation energy ... -0.6329 eV per atom
D(E_F) ... 0.29 states/eV per cell

---

Question: Which of these has the highest uncorrected energy?
Answer: BaSc2Sb2